PBE Tb2YPb2, relaxed; VASP energy = -50.92 eV per cell; calculated formation energy = -0.46 eV/atom; calculated density = 9.0 g cm⁻³; DOS(E_F) = 6.82 states/eV/cell
1.0
2.508 -9.228 0.000
2.508 9.228 0.000
0.000 0.000 6.554
Tb Y Pb
4 2 4
Cartesian
2.508 -9.222 0.000
2.508 9.222 3.277
2.508 5.742 4.926
2.508 -5.742 1.649
2.508 1.961 4.911
2.508 -1.961 1.635
2.508 5.574 1.651
2.508 1.388 1.639
2.508 -1.388 4.915
2.508 -5.574 4.928